Below is an optimized crystal structure of Pr2Cd16Ag, with properties calculated at the PBE-GGA level. Values from VASP.

Output
Fermi-level density of states   0.300 states/eV per atom
Size of the total moment   0.00 μB/cell
Space group   No. 160
Energy of formation from the pure elements   -162 meV per atom

```
&SYSTEM
  ibrav = 0, nat = 19, ntyp = 3
/
ATOMIC_SPECIES
Cd 112.41 Cd.upf
Pr 140.91 Pr.upf
Ag 107.87 Ag.upf
CELL_PARAMETERS angstrom
7.606 0.083 0.950
0.849 7.559 0.950
0.092 0.083 7.665
ATOMIC_POSITIONS crystal
Cd 0.296 0.000 0.703
Cd 0.992 0.992 0.512
Cd 0.847 0.358 0.358
Cd 0.638 0.167 0.638
Cd 0.512 0.992 0.992
Cd 0.358 0.358 0.847
Cd 0.101 0.101 0.101
Cd 0.703 0.000 0.296
Cd 0.000 0.703 0.296
Cd 0.703 0.296 0.000
Cd 0.000 0.296 0.703
Cd 0.638 0.638 0.167
Cd 0.992 0.512 0.992
Cd 0.296 0.703 0.000
Cd 0.358 0.847 0.358
Cd 0.167 0.638 0.638
Pr 0.331 0.331 0.331
Pr 0.669 0.669 0.669
Ag 0.901 0.901 0.901
```